VASP calculation (PBE) on AlZn4Cu15 after structural relaxation.

Cell: 3.6537 3.6537 18.6344 Å, 90.00 90.00 90.00°
Positions (direct):
Al 0.0000 0.0000 0.0000
Zn 0.0000 0.0000 0.2001
Zn 0.0000 0.0000 0.4001
Zn 0.0000 0.0000 0.5999
Zn 0.0000 0.0000 0.7999
Cu 0.0000 0.5000 0.0995
Cu 0.0000 0.5000 0.3003
Cu 0.0000 0.5000 0.5000
Cu 0.0000 0.5000 0.6997
Cu 0.0000 0.5000 0.9005
Cu 0.5000 0.0000 0.0995
Cu 0.5000 0.0000 0.3003
Cu 0.5000 0.0000 0.5000
Cu 0.5000 0.0000 0.6997
Cu 0.5000 0.0000 0.9005
Cu 0.5000 0.5000 0.0000
Cu 0.5000 0.5000 0.2001
Cu 0.5000 0.5000 0.4002
Cu 0.5000 0.5000 0.5998
Cu 0.5000 0.5000 0.7999

---

VASP calculation (PBE) on Al2ZnCu after structural relaxation.

Cell: 4.5167 2.8908 4.9211 Å, 90.00 112.59 90.00°
Positions (direct):
Al 0.0000 0.0000 0.0000
Al 0.0000 0.5000 0.5000
Zn 0.5000 0.0000 0.5000
Cu 0.5000 0.5000 0.0000

---

VASP calculation (PBE) on AlZn2Cu6 after structural relaxation.

For the energy above the most stable polymorph in this dataset, the calculation gives 0 meV/atom.

Cell: 4.4457 4.4457 7.7424 Å, 103.56 103.56 50.80°
Positions (direct):
Al 0.0000 0.0000 0.0000
Zn 0.3263 0.3263 0.7669
Zn 0.6737 0.6737 0.2331
Cu 0.0035 0.0035 0.3354
Cu 0.3348 0.3348 0.1099
Cu 0.3368 0.3368 0.4440
Cu 0.6632 0.6632 0.5560
Cu 0.6652 0.6652 0.8901
Cu 0.9965 0.9965 0.6646

---

no.,E_tot (eV per cell),energy of formation (meV/atom)
1,-72.22,-97
2,-13.04,-47
3,-31.75,-98